A relaxed K2Li2PuO6 crystal. Source: the Alexandria database, functional PBE.

abc: 6.559 6.559 6.559
angles: 54.05 54.05 54.05
Element x y z (fractional)
K: 0.217 0.217 0.217
K: 0.783 0.783 0.783
Li: 0.408 0.408 0.408
Li: 0.592 0.592 0.592
Pu: 0.000 0.000 0.000
O: 0.224 0.224 0.764
O: 0.224 0.764 0.224
O: 0.236 0.776 0.776
O: 0.764 0.224 0.224
O: 0.776 0.236 0.776
O: 0.776 0.776 0.236

Computed properties:
Crystal system: trigonal
Space group: R-3m
Calculated volume, Å³/cell: 171.8
Energy relative to the elements, uncorrected, meV per atom: -1990

A relaxed K4LiPu3O8 crystal. Source: the Alexandria database, functional PBE.

abc: 7.415 7.415 7.415
angles: 56.32 56.32 56.32
Element x y z (fractional)
K: 0.000 0.000 0.000
K: 0.000 0.500 0.500
K: 0.500 0.000 0.500
K: 0.500 0.500 0.000
Li: 0.500 0.500 0.500
Pu: 0.000 0.000 0.500
Pu: 0.000 0.500 0.000
Pu: 0.500 0.000 0.000
O: 0.205 0.739 0.739
O: 0.231 0.231 0.231
O: 0.261 0.261 0.795
O: 0.261 0.795 0.261
O: 0.739 0.205 0.739
O: 0.739 0.739 0.205
O: 0.769 0.769 0.769
O: 0.795 0.261 0.261

Computed properties:
Crystal system: trigonal
Space group: R-3m
Calculated volume, Å³/cell: 263.7
Energy relative to the elements, uncorrected, meV per atom: -2333

A relaxed K2Li2PuO4 crystal. Source: the Alexandria database, functional PBE.

abc: 6.472 6.472 6.484
angles: 110.92 110.92 31.35
Element x y z (fractional)
K: 0.140 0.140 0.066
K: 0.860 0.860 0.934
Li: 0.317 0.317 0.517
Li: 0.683 0.683 0.483
Pu: 0.000 0.000 0.500
O: 0.192 0.192 0.638
O: 0.483 0.483 0.711
O: 0.517 0.517 0.289
O: 0.808 0.808 0.362

Computed properties:
Crystal system: monoclinic
Space group: C2/m
Calculated volume, Å³/cell: 131.2
Energy relative to the elements, uncorrected, meV per atom: -2107

A relaxed KLiPuO5 crystal. Source: the Alexandria database, functional PBE.

abc: 6.128 6.128 8.144
angles: 106.16 106.16 104.97
Element x y z (fractional)
K: 0.080 0.920 0.750
K: 0.920 0.080 0.250
Li: 0.446 0.554 0.750
Li: 0.554 0.446 0.250
Pu: 0.000 0.500 0.000
Pu: 0.500 0.000 0.500
O: 0.190 0.810 0.250
O: 0.192 0.326 0.090
O: 0.230 0.614 0.899
O: 0.326 0.192 0.590
O: 0.386 0.770 0.601
O: 0.614 0.230 0.399
O: 0.674 0.808 0.410
O: 0.770 0.386 0.101
O: 0.808 0.674 0.910
O: 0.810 0.190 0.750

Computed properties:
Crystal system: monoclinic
Space group: C2/c
Calculated volume, Å³/cell: 262.8
Energy relative to the elements, uncorrected, meV per atom: -2046

A relaxed KLi3Pu4O12 crystal. Source: the Alexandria database, functional PBE.

abc: 7.011 7.011 7.011
angles: 109.47 109.47 109.47
Element x y z (fractional)
K: 0.000 0.000 0.000
Li: 0.000 0.500 0.500
Li: 0.500 0.000 0.500
Li: 0.500 0.500 0.000
Pu: 0.000 0.000 0.500
Pu: 0.000 0.500 0.000
Pu: 0.500 0.000 0.000
Pu: 0.500 0.500 0.500
O: 0.121 0.305 0.816
O: 0.184 0.488 0.305
O: 0.184 0.879 0.695
O: 0.305 0.184 0.488
O: 0.305 0.816 0.121
O: 0.488 0.305 0.184
O: 0.512 0.695 0.816
O: 0.695 0.184 0.879
O: 0.695 0.816 0.512
O: 0.816 0.121 0.305
O: 0.816 0.512 0.695
O: 0.879 0.695 0.184

Computed properties:
Crystal system: cubic
Space group: Im-3
Calculated volume, Å³/cell: 265.3
Energy relative to the elements, uncorrected, meV per atom: -2559

A relaxed KLiPuO4 crystal. Source: the Alexandria database, functional PBE.

abc: 7.525 7.525 7.525
angles: 130.37 124.79 77.39
Element x y z (fractional)
K: 0.500 0.000 0.000
K: 0.500 0.500 0.500
Li: 0.200 0.450 0.750
Li: 0.800 0.550 0.250
Pu: 0.000 0.000 0.000
Pu: 0.500 0.000 0.500
O: 0.147 0.158 0.989
O: 0.260 0.233 0.473
O: 0.260 0.786 0.027
O: 0.331 0.842 0.489
O: 0.669 0.158 0.511
O: 0.740 0.214 0.973
O: 0.740 0.767 0.527
O: 0.853 0.842 0.011

Computed properties:
Crystal system: orthorhombic
Space group: Imma
Calculated volume, Å³/cell: 258.7
Energy relative to the elements, uncorrected, meV per atom: -2222

A relaxed K3Li2PuO6 crystal. Source: the Alexandria database, functional PBE.

abc: 5.909 5.909 6.214
angles: 96.77 96.77 122.99
Element x y z (fractional)
K: 0.000 0.000 0.000
K: 0.315 0.685 0.000
K: 0.685 0.315 0.000
Li: 0.201 0.799 0.500
Li: 0.799 0.201 0.500
Pu: 0.500 0.500 0.500
O: 0.133 0.424 0.329
O: 0.310 0.310 0.725
O: 0.424 0.133 0.329
O: 0.576 0.867 0.671
O: 0.690 0.690 0.275
O: 0.867 0.576 0.671

Computed properties:
Crystal system: monoclinic
Space group: C2/m
Calculated volume, Å³/cell: 176.4
Energy relative to the elements, uncorrected, meV per atom: -2008

A relaxed K3LiPu2O9 crystal. Source: the Alexandria database, functional PBE.

abc: 5.968 5.968 7.350
angles: 90.00 90.00 120.00
Element x y z (fractional)
K: 0.000 0.000 0.000
K: 0.333 0.667 0.650
K: 0.667 0.333 0.350
Li: 0.000 0.000 0.500
Pu: 0.333 0.667 0.168
Pu: 0.667 0.333 0.832
O: 0.000 0.500 0.000
O: 0.179 0.357 0.318
O: 0.179 0.821 0.318
O: 0.357 0.179 0.682
O: 0.500 0.000 0.000
O: 0.500 0.500 0.000
O: 0.643 0.821 0.318
O: 0.821 0.179 0.682
O: 0.821 0.643 0.682

Computed properties:
Crystal system: trigonal
Space group: P-3m1
Calculated volume, Å³/cell: 226.7
Energy relative to the elements, uncorrected, meV per atom: -2190